Entry from Alexandria: a relaxed AlGeC3 crystal (PBE).

Calculated values
Density ... 3.627 Mg/m³
Energy above the most stable polymorph in this dataset ... 0.000 eV/atom
DFT formation energy ... 2.337 eV/atom
Total moment ... 0.000 μB/atom

Unit cell a=3.9603 b=3.9603 c=3.9603 alpha=90.00 beta=90.00 gamma=90.00
Space group Pm-3m (No. 221)
Unique sites:
Al 0.0000 0.0000 0.0000 (multiplicity 1)
Ge 0.5000 0.5000 0.5000 (multiplicity 1)
C 0.0000 0.0000 0.5000 (multiplicity 3)